A relaxed ThCoPbO4 crystal, computed with PBE with a Hubbard U.

abc: 6.910 6.910 6.910
angles: 125.56 114.18 90.50
Element x y z (fractional)
1 Th 0.000 0.000 0.000
2 Th 0.500 0.000 0.500
3 Co 0.500 0.000 0.000
4 Co 0.500 0.500 0.500
5 Pb 0.090 0.340 0.750
6 Pb 0.910 0.660 0.250
7 O 0.243 0.218 0.475
8 O 0.243 0.768 0.025
9 O 0.295 0.231 0.064
10 O 0.333 0.769 0.564
11 O 0.667 0.231 0.436
12 O 0.705 0.769 0.936
13 O 0.757 0.232 0.975
14 O 0.757 0.782 0.525

Properties
- D(E_F): 0.00 states/eV/cell
- Space-group type: No. 74
- Calculated volume: 16.5 A^3/atom
- VASP energy: -7.216 eV per atom